(1)
Entry from Alexandria via LeMat-Bulk: crystalline Tl2RuPbC at its relaxed geometry (GGA-PBEsol).

abc: 3.891 5.209 5.209
angles: 90.00 90.00 90.00
Fractional coordinates of all 5 atoms:
Tl  0.000  0.000  0.500
C  0.000  0.000  0.000
Tl  0.000  0.500  0.000
Pb  0.500  0.500  0.500
Ru  0.500  0.000  0.000

- calculated total energy (eV/atom) = -4.981
- Fermi-level density of states (states/eV per atom) = 0.5491
- SG = P4/mmm
- ρ (g/cm³) = 11.47
- calculated formation energy (eV/atom) = 0.834

=====

(2)
Entry from Alexandria via LeMat-Bulk: crystalline SbPb2C at its relaxed geometry (GGA-PBEsol).

abc: 5.082 5.082 5.082
angles: 60.00 60.00 60.00
Fractional coordinates of all 4 atoms:
Sb  0.500  0.500  0.500
Pb  0.750  0.750  0.750
Pb  0.250  0.250  0.250
C  0.000  0.000  0.000

- calculated total energy (eV/atom) = -4.152
- Fermi-level density of states (states/eV per atom) = 0.5954
- SG = Fm-3m
- energy relative to the elements, uncorrected (kJ/mol of formula units) = 539
- ρ (g/cm³) = 9.81

=====

(3)
Entry from Alexandria via LeMat-Bulk: crystalline Sc3PbC at its relaxed geometry (GGA-PBEsol).

abc: 4.509 4.509 4.509
angles: 90.00 90.00 90.00
Fractional coordinates of all 5 atoms:
C  0.500  0.500  0.500
Sc  0.500  0.000  0.500
Sc  0.500  0.500  0.000
Sc  0.000  0.500  0.500
Pb  0.000  0.000  0.000

- calculated total energy (eV/atom) = -7.436
- Fermi-level density of states (states/eV per atom) = 0.4872
- SG = Pm-3m
- ρ (g/cm³) = 6.41
- calculated formation energy (eV/atom) = -0.745

=====

(4)
Entry from Alexandria via LeMat-Bulk: crystalline Sc3PbC at its relaxed geometry (GGA-PBEsol).

abc: 5.271 5.271 5.271
angles: 90.00 90.00 90.00
Fractional coordinates of all 5 atoms:
Pb  0.000  0.000  0.000
C  0.500  0.500  0.500
Sc  0.000  0.000  0.500
Sc  0.000  0.500  0.000
Sc  0.500  0.000  0.000

- calculated total energy (eV/atom) = -5.002
- Fermi-level density of states (states/eV per atom) = 0.9326
- SG = Pm-3m
- ρ (g/cm³) = 4.02
- calculated formation energy (eV/atom) = 1.690

=====

(5)
Entry from Alexandria via LeMat-Bulk: crystalline PbC3Se at its relaxed geometry (GGA-PBEsol).

abc: 4.039 4.039 4.039
angles: 90.00 90.00 90.00
Fractional coordinates of all 5 atoms:
Pb  0.500  0.500  0.500
C  0.000  0.000  0.500
C  0.000  0.500  0.000
C  0.500  0.000  0.000
Se  0.000  0.000  0.000

- calculated total energy (eV/atom) = -4.750
- Fermi-level density of states (states/eV per atom) = 0.6913
- SG = Pm-3m
- energy relative to the elements, uncorrected (kJ/mol of formula units) = 1257
- ρ (g/cm³) = 8.12

=====

(6)
Entry from Alexandria via LeMat-Bulk: crystalline PbCSe3 at its relaxed geometry (GGA-PBEsol).

abc: 4.535 4.535 4.535
angles: 90.00 90.00 90.00
Fractional coordinates of all 5 atoms:
C  0.000  0.000  0.000
Se  0.500  0.000  0.000
Se  0.000  0.500  0.000
Pb  0.500  0.500  0.500
Se  0.000  0.000  0.500

- calculated total energy (eV/atom) = -4.339
- Fermi-level density of states (states/eV per atom) = 0.6987
- SG = Pm-3m
- energy relative to the elements, uncorrected (kJ/mol of formula units) = 337
- ρ (g/cm³) = 8.12